(1)
Computed, not measured: crystalline SrSi2SnPd at its relaxed geometry at the GGA-PBE level of DFT.

Properties
* density: 5671 kg/m³
* calculated volume: 108.0 Å³/f.u.
* uncorrected energy: -48.09 eV per cell

abc: 4.544 4.544 10.463
angles: 90.00 90.00 90.00
Space group I4mm (No. 107)
Asymmetric unit:
Sr1 0.000 0.000 0.000
Si1 0.000 0.500 0.244
Sn1 0.000 0.000 0.395
Pd1 0.000 0.000 0.653



(2)
Computed, not measured: crystalline AcBOs at its relaxed geometry at the GGA-PBE level of DFT.

Properties
* density: 11649 kg/m³
* calculated volume: 61.0 Å³/f.u.
* uncorrected energy: -77.80 eV per cell

abc: 6.249 6.249 6.249
angles: 90.00 90.00 90.00
Space group F-43m (No. 216)
Asymmetric unit:
Ac1 0.000 0.000 0.000
B1 0.250 0.250 0.250
Os1 0.000 0.000 0.500



(3)
Computed, not measured: crystalline LiBeCo at its relaxed geometry at the GGA-PBE level of DFT.

Properties
* polymorph energy (0 for the lowest one): 0.0 meV/atom
* density: 3763 kg/m³
* calculated volume: 33.0 Å³/f.u.

abc: 5.094 5.094 5.094
angles: 90.00 90.00 90.00
Space group F-43m (No. 216)
Asymmetric unit:
Li1 0.000 0.000 0.000
Be1 0.250 0.250 0.750
Co1 0.000 0.000 0.500



(4)
Computed, not measured: crystalline BeTcBMo at its relaxed geometry at the GGA-PBE level of DFT.

Properties
* polymorph energy (0 for the lowest one): 0.0 meV/atom
* density: 8116 kg/m³
* calculated volume: 43.7 Å³/f.u.

abc: 5.593 5.593 5.593
angles: 90.00 90.00 90.00
Space group F-43m (No. 216)
Asymmetric unit:
Be1 0.000 0.000 0.000
Tc1 0.250 0.250 0.250
B1 0.000 0.000 0.500
Mo1 0.250 0.250 0.750



(5)
Computed, not measured: crystalline LiAl2Pd2 at its relaxed geometry at the GGA-PBE level of DFT.

Properties
* density: 5884 kg/m³
* calculated volume: 77.3 Å³/f.u.
* uncorrected energy: -47.18 eV per cell

abc: 7.339 7.339 2.868
angles: 90.00 90.00 90.00
Space group P4/mbm (No. 127)
Asymmetric unit:
Li1 0.000 0.000 0.000
Al1 0.148 0.352 0.500
Pd1 0.149 0.649 0.000



(6)
Computed, not measured: crystalline Sr2Pm2O5 at its relaxed geometry at the GGA-PBE level of DFT.

Properties
* polymorph energy (0 for the lowest one): 0.0 meV/atom
* density: 5538 kg/m³
* calculated volume: 163.5 Å³/f.u.

abc: 4.465 4.465 8.202
angles: 90.00 90.00 90.00
Space group P4/mmm (No. 123)
Asymmetric unit:
Sr1 0.000 0.000 0.000
Sr2 0.000 0.000 0.500
Pm1 0.500 0.500 0.235
O1 0.000 0.500 0.189
O2 0.500 0.500 0.500



Question: Number 1 is which compound?
Answer: SrSi2SnPd



Copy entry 4 word for word.
Computed, not measured: crystalline BeTcBMo at its relaxed geometry at the GGA-PBE level of DFT.

Properties
* polymorph energy (0 for the lowest one): 0.0 meV/atom
* density: 8116 kg/m³
* calculated volume: 43.7 Å³/f.u.

abc: 5.593 5.593 5.593
angles: 90.00 90.00 90.00
Space group F-43m (No. 216)
Asymmetric unit:
Be1 0.000 0.000 0.000
Tc1 0.250 0.250 0.250
B1 0.000 0.000 0.500
Mo1 0.250 0.250 0.750



Please write out number 2 again, unchanged.
Computed, not measured: crystalline AcBOs at its relaxed geometry at the GGA-PBE level of DFT.

Properties
* density: 11649 kg/m³
* calculated volume: 61.0 Å³/f.u.
* uncorrected energy: -77.80 eV per cell

abc: 6.249 6.249 6.249
angles: 90.00 90.00 90.00
Space group F-43m (No. 216)
Asymmetric unit:
Ac1 0.000 0.000 0.000
B1 0.250 0.250 0.250
Os1 0.000 0.000 0.500



Copy entry 6 word for word.
Computed, not measured: crystalline Sr2Pm2O5 at its relaxed geometry at the GGA-PBE level of DFT.

Properties
* polymorph energy (0 for the lowest one): 0.0 meV/atom
* density: 5538 kg/m³
* calculated volume: 163.5 Å³/f.u.

abc: 4.465 4.465 8.202
angles: 90.00 90.00 90.00
Space group P4/mmm (No. 123)
Asymmetric unit:
Sr1 0.000 0.000 0.000
Sr2 0.000 0.000 0.500
Pm1 0.500 0.500 0.235
O1 0.000 0.500 0.189
O2 0.500 0.500 0.500